PBE-GGA V2Mo4W, optimized geometry; ρ = 9.7 g/cm³; energy = -10.305 eV/atom; volume = 229.1 Å³/cell
1.0
-1.8293 0.2359 -5.0165
5.1116 -1.5566 0.1293
-2.5148 -8.2141 0.5308
V W Mo
4 2 8
Cartesian
3.3494 -1.1015 -1.1772
2.0920 -5.2085 -0.9117
-0.0671 -0.2192 -3.7100
-1.3245 -4.3263 -3.4447
1.0124 -2.7139 -2.3109
-0.2449 -6.8210 -2.0455
-2.8007 -6.0426 -2.1101
0.7671 -0.3087 -1.1424
1.2576 -5.1191 -3.4795
2.5151 -1.0120 -3.7448
-1.5434 -1.9357 -2.3756
1.9271 -2.8317 0.1974
-0.4901 -4.4158 -0.8769
0.6697 -6.9390 0.4628

PBE-GGA GdGaAu2, optimized geometry; ρ = 12.1 g/cm³; energy = -6.461 eV/atom; volume = 84.9 Å³/cell
1.0
-2.8276 2.2440 -0.3975
-0.3779 -1.0863 -3.4448
-3.9827 -4.6797 1.9126
Gd Au Ga
1 2 1
Cartesian
-3.5941 -1.7610 -0.9648
-3.0458 -3.5788 1.4627
-0.9369 -1.1009 0.4499
-1.6027 0.5789 -1.9211